Record 1
{
  "formula": "TbPmHo2Tm5",
  "functional": "PBE-GGA",
  "state": "relaxed",
  "density_g_cm3": 8.595,
  "e_form_ev_per_atom": 0.16,
  "cell": [[2.775, -9.800, 0.000], [2.775, 9.800, 0.000], [0.000, 0.000, 10.504]],
  "species": ["Tb", "Tb", "Pm", "Pm", "Ho", "Ho", "Ho", "Ho", "Tm", "Tm", "Tm", "Tm", "Tm", "Tm", "Tm", "Tm", "Tm", "Tm"],
  "frac_coords": [[0.201, 0.799, 0.500], [0.799, 0.201, 0.000], [0.417, 0.583, 0.941], [0.583, 0.417, 0.441], [0.110, 0.890, 0.224], [0.113, 0.887, 0.807], [0.887, 0.113, 0.307], [0.890, 0.110, 0.724], [0.018, 0.982, 0.514], [0.282, 0.718, 0.798], [0.299, 0.701, 0.198], [0.389, 0.611, 0.510], [0.479, 0.521, 0.224], [0.521, 0.479, 0.724], [0.611, 0.389, 0.010], [0.701, 0.299, 0.698], [0.718, 0.282, 0.298], [0.982, 0.018, 0.014]]
}

Record 2
{
  "formula": "ZrTlAu2",
  "functional": "PBE-GGA",
  "state": "relaxed",
  "density_g_cm3": 13.057,
  "e_form_ev_per_atom": -0.02,
  "cell": [[1.685, 0.973, 8.916], [-1.685, 0.973, 8.916], [0.000, -1.946, 8.916]],
  "species": ["Zr", "Tl", "Au", "Au"],
  "frac_coords": [[0.000, 0.000, 0.000], [0.761, 0.761, 0.761], [0.255, 0.255, 0.255], [0.510, 0.510, 0.510]]
}

Record 3
{
  "formula": "Rb2LiInBr5",
  "functional": "PBE-GGA",
  "state": "relaxed",
  "density_g_cm3": 3.436,
  "raw_formation_energy_mev_per_atom": -1320,
  "cell": [[2.525, -9.750, 0.000], [2.525, 9.750, 0.000], [0.000, 0.000, 13.588]],
  "species": ["Rb", "Rb", "Rb", "Rb", "Li", "Li", "In", "In", "Br", "Br", "Br", "Br", "Br", "Br", "Br", "Br", "Br", "Br"],
  "frac_coords": [[0.112, 0.888, 0.500], [0.126, 0.874, 0.153], [0.874, 0.126, 0.653], [0.888, 0.112, 0.000], [0.237, 0.763, 0.899], [0.763, 0.237, 0.399], [0.415, 0.585, 0.273], [0.585, 0.415, 0.773], [0.058, 0.942, 0.840], [0.298, 0.702, 0.448], [0.306, 0.694, 0.148], [0.354, 0.646, 0.830], [0.500, 0.500, 0.106], [0.500, 0.500, 0.606], [0.646, 0.354, 0.330], [0.694, 0.306, 0.648], [0.702, 0.298, 0.948], [0.942, 0.058, 0.340]]
}

Record 4
{
  "formula": "Ag2Br3O2",
  "functional": "PBE-GGA",
  "state": "relaxed",
  "density_g_cm3": 3.830,
  "raw_formation_energy_mev_per_atom": -173,
  "cell": [[3.865, 0.000, 0.000], [1.896, 6.691, 0.000], [1.628, 0.553, 8.172]],
  "species": ["Ag", "Ag", "Br", "Br", "Br", "O", "O"],
  "frac_coords": [[0.102, 0.219, 0.087], [0.898, 0.781, 0.913], [0.345, 0.005, 0.775], [0.500, 0.500, 0.000], [0.655, 0.995, 0.225], [0.032, 0.577, 0.516], [0.968, 0.423, 0.484]]
}

Record 5
{
  "formula": "ZrTiAs",
  "functional": "PBE-GGA",
  "state": "relaxed",
  "density_g_cm3": 6.385,
  "e_form_ev_per_atom": -0.67,
  "cell": [[4.776, -1.762, 0.000], [4.776, 1.762, 0.000], [-1.163, 0.000, 6.614]],
  "species": ["Zr", "Zr", "Ti", "Ti", "As", "As"],
  "frac_coords": [[0.000, 0.000, 0.000], [0.653, 0.653, 0.353], [0.265, 0.265, 0.725], [0.929, 0.929, 0.457], [0.309, 0.309, 0.140], [0.555, 0.555, 0.715]]
}

Record 6
{
  "formula": "Fe5Ag3Cl12",
  "functional": "PBE-GGA",
  "state": "relaxed",
  "density_g_cm3": 4.015,
  "raw_formation_energy_mev_per_atom": -418,
  "cell": [[-7.520, 7.520, 7.520], [7.520, -7.520, 7.520], [7.520, 7.520, -7.520]],
  "species": ["Fe", "Fe", "Fe", "Fe", "Fe", "Fe", "Fe", "Fe", "Fe", "Fe", "Fe", "Fe", "Fe", "Fe", "Fe", "Fe", "Fe", "Fe", "Fe", "Fe", "Ag", "Ag", "Ag", "Ag", "Ag", "Ag", "Ag", "Ag", "Ag", "Ag", "Ag", "Ag", "Cl", "Cl", "Cl", "Cl", "Cl", "Cl", "Cl", "Cl", "Cl", "Cl", "Cl", "Cl", "Cl", "Cl", "Cl", "Cl", "Cl", "Cl", "Cl", "Cl", "Cl", "Cl", "Cl", "Cl", "Cl", "Cl", "Cl", "Cl", "Cl", "Cl", "Cl", "Cl", "Cl", "Cl", "Cl", "Cl", "Cl", "Cl", "Cl", "Cl", "Cl", "Cl", "Cl", "Cl", "Cl", "Cl", "Cl", "Cl"],
  "frac_coords": [[0.000, 0.000, 0.000], [0.000, 0.000, 0.500], [0.000, 0.500, 0.000], [0.000, 0.500, 0.500], [0.125, 0.750, 0.875], [0.125, 0.875, 0.250], [0.250, 0.125, 0.875], [0.250, 0.625, 0.375], [0.375, 0.250, 0.625], [0.375, 0.625, 0.750], [0.500, 0.000, 0.000], [0.500, 0.000, 0.500], [0.500, 0.500, 0.000], [0.500, 0.500, 0.500], [0.625, 0.375, 0.250], [0.625, 0.750, 0.375], [0.750, 0.375, 0.625], [0.750, 0.875, 0.125], [0.875, 0.125, 0.750], [0.875, 0.250, 0.125], [0.125, 0.250, 0.375], [0.125, 0.375, 0.750], [0.250, 0.375, 0.125], [0.250, 0.875, 0.625], [0.375, 0.125, 0.250], [0.375, 0.750, 0.125], [0.625, 0.250, 0.875], [0.625, 0.875, 0.750], [0.750, 0.125, 0.375], [0.750, 0.625, 0.875], [0.875, 0.625, 0.250], [0.875, 0.750, 0.625], [0.022, 0.195, 0.114], [0.022, 0.327, 0.907], [0.081, 0.695, 0.673], [0.081, 0.886, 0.407], [0.093, 0.614, 0.419], [0.093, 0.978, 0.673], [0.114, 0.022, 0.195], [0.114, 0.593, 0.919], [0.173, 0.195, 0.581], [0.173, 0.478, 0.593], [0.195, 0.114, 0.022], [0.195, 0.581, 0.173], [0.305, 0.327, 0.919], [0.305, 0.478, 0.386], [0.327, 0.907, 0.022], [0.327, 0.919, 0.305], [0.386, 0.305, 0.478], [0.386, 0.581, 0.907], [0.407, 0.081, 0.886], [0.407, 0.827, 0.522], [0.419, 0.093, 0.614], [0.419, 0.827, 0.805], [0.478, 0.386, 0.305], [0.478, 0.593, 0.173], [0.522, 0.407, 0.827], [0.522, 0.614, 0.695], [0.581, 0.173, 0.195], [0.581, 0.907, 0.386], [0.593, 0.173, 0.478], [0.593, 0.919, 0.114], [0.614, 0.419, 0.093], [0.614, 0.695, 0.522], [0.673, 0.081, 0.695], [0.673, 0.093, 0.978], [0.695, 0.522, 0.614], [0.695, 0.673, 0.081], [0.805, 0.419, 0.827], [0.805, 0.886, 0.978], [0.827, 0.522, 0.407], [0.827, 0.805, 0.419], [0.886, 0.407, 0.081], [0.886, 0.978, 0.805], [0.907, 0.022, 0.327], [0.907, 0.386, 0.581], [0.919, 0.114, 0.593], [0.919, 0.305, 0.327], [0.978, 0.673, 0.093], [0.978, 0.805, 0.886]]
}

Record 7
{
  "formula": "Tm3Zn3Si2",
  "functional": "PBE-GGA",
  "state": "relaxed",
  "density_g_cm3": 8.084,
  "raw_formation_energy_mev_per_atom": -515,
  "cell": [[2.087, -5.186, 0.000], [2.087, 5.186, 0.000], [0.000, 0.000, 14.410]],
  "species": ["Tm", "Tm", "Tm", "Tm", "Tm", "Tm", "Zn", "Zn", "Zn", "Zn", "Zn", "Zn", "Si", "Si", "Si", "Si"],
  "frac_coords": [[0.084, 0.916, 0.610], [0.084, 0.916, 0.890], [0.363, 0.637, 0.750], [0.637, 0.363, 0.250], [0.916, 0.084, 0.110], [0.916, 0.084, 0.390], [0.356, 0.644, 0.250], [0.381, 0.619, 0.536], [0.381, 0.619, 0.964], [0.619, 0.381, 0.036], [0.619, 0.381, 0.464], [0.644, 0.356, 0.750], [0.206, 0.794, 0.110], [0.206, 0.794, 0.390], [0.794, 0.206, 0.610], [0.794, 0.206, 0.890]]
}

Record 8
{
  "formula": "CrRu2",
  "functional": "PBE-GGA",
  "state": "relaxed",
  "density_g_cm3": 10.569,
  "e_form_ev_per_atom": 0.13,
  "cell": [[-1.338, 1.856, 4.020], [1.338, -1.856, 4.020], [1.338, 1.856, -4.020]],
  "species": ["Cr", "Ru", "Ru"],
  "frac_coords": [[0.000, 0.000, 0.000], [0.337, 0.337, 0.000], [0.663, 0.663, 0.000]]
}

Record 9
{
  "formula": "SmGeRh3",
  "functional": "PBE-GGA",
  "state": "relaxed",
  "density_g_cm3": 9.847,
  "e_form_ev_per_atom": -0.59,
  "cell": [[-2.742, 3.816, 4.285], [2.742, -3.816, 4.285], [2.742, 3.816, -4.285]],
  "species": ["Sm", "Sm", "Ge", "Ge", "Rh", "Rh", "Rh", "Rh", "Rh", "Rh"],
  "frac_coords": [[0.257, 0.007, 0.250], [0.743, 0.993, 0.750], [0.000, 0.500, 0.500], [0.500, 0.500, 0.000], [0.068, 0.318, 0.750], [0.297, 0.000, 0.797], [0.297, 0.500, 0.297], [0.703, 0.000, 0.203], [0.703, 0.500, 0.703], [0.932, 0.682, 0.250]]
}

Record 10
{
  "formula": "TeRhW2",
  "functional": "PBE-GGA",
  "state": "relaxed",
  "density_g_cm3": 14.792,
  "raw_formation_energy_mev_per_atom": 516,
  "cell": [[3.106, 0.000, 0.000], [0.000, 3.106, 0.000], [0.000, 0.000, 6.959]],
  "species": ["Te", "Rh", "W", "W"],
  "frac_coords": [[0.000, 0.000, 0.000], [0.000, 0.000, 0.500], [0.500, 0.500, 0.254], [0.500, 0.500, 0.746]]
}

Record 11
{
  "formula": "CoTe4Au",
  "functional": "PBE-GGA",
  "state": "relaxed",
  "de_polymorph_mev_per_atom": 0,
  "density_g_cm3": 8.370,
  "raw_formation_energy_mev_per_atom": -127,
  "cell": [[6.330, -1.979, 0.000], [6.330, 1.979, 0.000], [-3.989, 0.000, 6.068]],
  "species": ["Co", "Te", "Te", "Te", "Te", "Au"],
  "frac_coords": [[0.000, 0.000, 0.000], [0.143, 0.143, 0.857], [0.384, 0.384, 0.726], [0.616, 0.616, 0.274], [0.857, 0.857, 0.143], [0.500, 0.500, 0.500]]
}

Record 12
{
  "formula": "Nd4SmHo2Mg",
  "functional": "PBE-GGA",
  "state": "relaxed",
  "density_g_cm3": 6.873,
  "e_form_ev_per_atom": 0.06,
  "cell": [[5.748, 0.000, 0.000], [0.000, 5.758, 0.000], [0.000, 0.000, 7.895]],
  "species": ["Nd", "Nd", "Nd", "Nd", "Sm", "Ho", "Ho", "Mg"],
  "frac_coords": [[0.000, 0.000, 0.233], [0.000, 0.000, 0.767], [0.500, 0.500, 0.235], [0.500, 0.500, 0.765], [0.000, 0.500, 0.500], [0.000, 0.500, 0.000], [0.500, 0.000, 0.500], [0.500, 0.000, 0.000]]
}